No. 1
A geometry-optimized K2CrPd3F12 structure, computed with PBE+U.

```
K2CrPd3F12
1.0
3.1813 1.8367 8.4144
-3.1813 1.8367 8.4144
0.0000 -3.6734 8.4144
K Cr Pd F
2 1 3 12
direct
0.1305 0.1305 0.1305
0.8695 0.8695 0.8695
0.5000 0.5000 0.5000
0.0000 0.5000 0.5000
0.5000 0.0000 0.5000
0.5000 0.5000 0.0000
0.1441 0.1441 0.5961
0.1441 0.5961 0.1441
0.1779 0.5991 0.5991
0.4009 0.4009 0.8221
0.4009 0.8221 0.4009
0.4039 0.8559 0.8559
0.5961 0.1441 0.1441
0.5991 0.1779 0.5991
0.5991 0.5991 0.1779
0.8221 0.4009 0.4009
0.8559 0.4039 0.8559
0.8559 0.8559 0.4039
```

Computed properties:
- E_tot: -4.544 eV/atom
- Space-group type: R-3m, No. 166

***

No. 2
A geometry-optimized PrPb2WO6 structure, computed with PBE+U.

```
PrPb2WO6
1.0
5.7886 0.0000 0.0000
0.0000 6.2887 0.0000
-5.6554 0.0000 8.6925
Pr Pb W O
2 4 2 12
direct
0.0000 0.0000 0.0000
0.0000 0.5000 0.5000
0.2321 0.0490 0.7253
0.2321 0.4510 0.2253
0.7679 0.5490 0.7747
0.7679 0.9510 0.2747
0.5000 0.0000 0.5000
0.5000 0.5000 0.0000
0.1769 0.1681 0.4813
0.1769 0.3319 0.9813
0.2830 0.7411 0.4582
0.2830 0.7589 0.9582
0.3486 0.0381 0.2682
0.3486 0.4619 0.7682
0.6514 0.5381 0.2318
0.6514 0.9619 0.7318
0.7170 0.2411 0.0418
0.7170 0.2589 0.5418
0.8231 0.6681 0.0187
0.8231 0.8319 0.5187
```

Computed properties:
- E_tot: -6.917 eV/atom
- Space-group type: P2_1/c, No. 14